Record 1
Density functional theory data (PBE) for CdTc2Cl after structural relaxation.

Properties
ΔE_f (raw) (meV/atom): 602
Space-group type: Imm2, No. 44

abc: 6.1773 6.1773 6.1773
angles: 149.03 133.69 56.75
Each line ends with the local moment (μB).
Sites, in units of the cell vectors:
Cl: 0.1941 0.6941 0.5000  0.00
Tc: 0.8417 0.3417 0.5000  0.22
Tc: 0.9890 0.9890 0.0000  0.19
Cd: 0.4752 0.4752 0.0000  0.00

---

Record 2
Density functional theory data (PBE) for SrHg2Ge2 after structural relaxation.

Properties
Calculated formation energy (eV/atom): -0.0386
Space-group type: P4/mbm, No. 127

abc: 8.2808 8.2808 3.6860
angles: 90.00 90.00 90.00
Sites, in units of the cell vectors:
Hg: 0.6244 0.1244 0.0000
Hg: 0.1244 0.3756 0.0000
Hg: 0.3756 0.8756 0.0000
Hg: 0.8756 0.6244 0.0000
Ge: 0.1811 0.6811 0.5000
Ge: 0.6811 0.8189 0.5000
Ge: 0.3189 0.1811 0.5000
Ge: 0.8189 0.3189 0.5000
Sr: 0.0000 0.0000 0.0000
Sr: 0.5000 0.5000 0.0000

---

Record 3
Density functional theory data (PBE) for LaCe2Sm3Er6 after structural relaxation.

Properties
Calculated formation energy (eV/atom): 0.0465
Space-group type: C2/m, No. 12

abc: 6.1688 6.1688 11.6920
angles: 95.04 95.04 120.00
Each line ends with the local moment (μB).
Sites, in units of the cell vectors:
Ce: 0.6667 0.3333 0.0000  0.71
Ce: 0.3333 0.6667 0.0000  0.71
Er: 0.9169 0.5804 0.7514  0.01
Er: 0.4196 0.0831 0.2486  0.01
Er: 0.2535 0.2535 0.7513  0.01
Er: 0.0831 0.4196 0.2486  0.01
Er: 0.5804 0.9169 0.7514  0.01
Er: 0.7465 0.7465 0.2487  0.01
Sm: 0.1663 0.8337 0.5000  -0.01
Sm: 0.5000 0.5000 0.5000  -0.01
Sm: 0.8337 0.1663 0.5000  -0.01
La: 0.0000 0.0000 0.0000  0.02

---

Record 4
Density functional theory data (PBE) for BaGa2Ag2 after structural relaxation.

Properties
Calculated formation energy (eV/atom): -0.3000
Space-group type: I4/mmm, No. 139

abc: 4.8964 4.8964 6.1076
angles: 66.37 66.37 90.00
Sites, in units of the cell vectors:
Ga: 0.3719 0.3719 0.2562
Ga: 0.6281 0.6281 0.7438
Ag: 0.2500 0.7500 0.5000
Ag: 0.7500 0.2500 0.5000
Ba: 0.0000 0.0000 0.0000

---

Record 5
Density functional theory data (PBE) for Cs2K7Rb after structural relaxation.

Properties
Calculated formation energy (eV/atom): 0.0224
Space-group type: Cmmm, No. 65

abc: 4.6809 8.8264 20.5802
angles: 102.38 90.00 90.00
Sites, in units of the cell vectors:
K: 0.5000 0.6536 0.8067
K: 0.5000 0.8468 0.1933
K: 0.5000 0.1532 0.8067
K: 0.0000 0.1816 0.3632
K: 0.0000 0.8184 0.6368
K: 0.5000 0.5000 0.0000
K: 0.5000 0.3464 0.1933
Cs: 0.5000 0.7076 0.4151
Cs: 0.5000 0.2924 0.5849
Rb: 0.0000 0.0000 0.0000

---

Record 6
Density functional theory data (PBE) for MoIrN3 after structural relaxation.

Properties
ΔE_f (raw) (meV/atom): 1559
Space-group type: Pm-3m, No. 221

abc: 3.8247 3.8247 3.8247
angles: 90.00 90.00 90.00
Sites, in units of the cell vectors:
Mo: 0.5000 0.5000 0.5000
N: 0.5000 0.0000 0.0000
N: 0.0000 0.0000 0.5000
N: 0.0000 0.5000 0.0000
Ir: 0.0000 0.0000 0.0000

---

Record 7
Density functional theory data (PBE) for CaTa3Re after structural relaxation.

Properties
Calculated formation energy (eV/atom): 0.9849
Space-group type: Pm-3m, No. 221

abc: 4.9477 4.9477 4.9477
angles: 90.00 90.00 90.00
Sites, in units of the cell vectors:
Ta: 0.0000 0.0000 0.5000
Ta: 0.0000 0.5000 0.0000
Ta: 0.5000 0.0000 0.0000
Ca: 0.5000 0.5000 0.5000
Re: 0.0000 0.0000 0.0000

---

Record 8
Density functional theory data (PBE) for AlP2Pb after structural relaxation.

Properties
Calculated formation energy (eV/atom): 0.2147
Space-group type: Immm, No. 71

abc: 5.2281 5.2281 5.2281
angles: 137.63 110.38 85.00
Sites, in units of the cell vectors:
Pb: 0.7500 0.2500 0.5000
Al: 0.2500 0.7500 0.5000
P: 0.0551 0.0551 0.0000
P: 0.4449 0.4449 0.0000

---

What is the formula in the fifth record? Cs2K7Rb

---

Repeat the sixth record exactly.
Density functional theory data (PBE) for MoIrN3 after structural relaxation.

Properties
ΔE_f (raw) (meV/atom): 1559
Space-group type: Pm-3m, No. 221

abc: 3.8247 3.8247 3.8247
angles: 90.00 90.00 90.00
Sites, in units of the cell vectors:
Mo: 0.5000 0.5000 0.5000
N: 0.5000 0.0000 0.0000
N: 0.0000 0.0000 0.5000
N: 0.0000 0.5000 0.0000
Ir: 0.0000 0.0000 0.0000